[1]
# ScCd4Pd2, relaxed, DFT GGA-PBE
data_ScCd4Pd2
_chemical_formula_sum 'Sc2 Cd8 Pd4'
_space_group_name_H-M_alt 'C m m m'
_space_group_IT_number 65
_space_group_name_Hall '-C 2 2'
_cell_length_a 3.100
_cell_length_b 20.302
_cell_length_c 4.595
_cell_angle_alpha 90.00
_cell_angle_beta 90.00
_cell_angle_gamma 90.00
loop_
_atom_site_label
_atom_site_type_symbol
_atom_site_fract_x
_atom_site_fract_y
_atom_site_fract_z
_atom_site_occupancy
Sc1 Sc 0.000 0.000 0.000 1
Cd1 Cd 0.000 0.189 0.500 1
Cd2 Cd 0.000 0.359 0.000 1
Pd1 Pd 0.000 0.435 0.500 1
# ΔE_f ... -0.2602 eV per atom
# E_tot ... -3.17 eV/atom
# Calculated density ... 8.13 g cm⁻³
# Magnetization ... 0.000 μB per formula unit
# DOS at the Fermi energy ... 0.38 states/eV per atom



[2]
# CdB2F, relaxed, DFT GGA-PBE
data_CdB2F
_chemical_formula_sum 'Cd4 B8 F4'
_space_group_name_H-M_alt 'F m -3 m'
_space_group_IT_number 225
_space_group_name_Hall '-F 4 2 3'
_cell_length_a 5.869
_cell_length_b 5.869
_cell_length_c 5.869
_cell_angle_alpha 90.00
_cell_angle_beta 90.00
_cell_angle_gamma 90.00
loop_
_atom_site_label
_atom_site_type_symbol
_atom_site_fract_x
_atom_site_fract_y
_atom_site_fract_z
_atom_site_occupancy
Cd1 Cd 0.000 0.000 0.000 1
B1 B 0.250 0.250 0.250 1
F1 F 0.000 0.000 0.500 1
# E_tot ... -2.72 eV/atom
# Energy above the lowest structure with this stoichiometry ... 1.266 eV per atom
# Calculated density ... 5.03 g cm⁻³
# Energy relative to the elements, uncorrected ... 5.26 eV per formula unit
# Magnetization ... 0.000 μB per formula unit
# DOS at the Fermi energy ... 0.85 states/eV per atom



[3]
# KSbAs2, relaxed, DFT GGA-PBE
data_KSbAs2
_chemical_formula_sum 'K2 Sb2 As4'
_space_group_name_H-M_alt 'C 1 2/m 1'
_space_group_IT_number 12
_space_group_name_Hall '-C 2y'
_cell_length_a 10.863
_cell_length_b 3.693
_cell_length_c 6.414
_cell_angle_alpha 90.00
_cell_angle_beta 110.67
_cell_angle_gamma 90.00
loop_
_atom_site_label
_atom_site_type_symbol
_atom_site_fract_x
_atom_site_fract_y
_atom_site_fract_z
_atom_site_occupancy
K1 K 0.000 0.000 0.000 1
Sb1 Sb 0.000 0.500 0.500 1
As1 As 0.228 0.000 0.623 1
# E_tot ... -3.76 eV/atom
# Calculated density ... 4.29 g cm⁻³
# Energy relative to the elements, uncorrected ... -0.50 eV per formula unit
# Magnetization ... 0.000 μB per formula unit
# DOS at the Fermi energy ... 0.39 states/eV per atom



[4]
# TaCoCl, relaxed, DFT GGA-PBE
data_TaCoCl
_chemical_formula_sum 'Ta1 Co1 Cl1'
_space_group_name_H-M_alt 'P -6 m 2'
_space_group_IT_number 187
_space_group_name_Hall 'P -6 2'
_cell_length_a 4.2173
_cell_length_b 4.2173
_cell_length_c 2.9105
_cell_angle_alpha 90.00
_cell_angle_beta 90.00
_cell_angle_gamma 120.00
loop_
_atom_site_label
_atom_site_type_symbol
_atom_site_fract_x
_atom_site_fract_y
_atom_site_fract_z
_atom_site_occupancy
Ta1 Ta 0.0000 0.0000 0.0000 1
Co1 Co 0.3333 0.6667 0.5000 1
Cl1 Cl 0.6667 0.3333 0.0000 1
# E_tot ... -6.57 eV/atom
# Energy above the lowest structure with this stoichiometry ... 0.407 eV per atom
# Calculated density ... 10.20 g cm⁻³
# Energy relative to the elements, uncorrected ... 1.09 eV per formula unit
# Magnetization ... 0.008 μB per formula unit
# DOS at the Fermi energy ... 0.90 states/eV per atom



[5]
# SbTe2Rh, relaxed, DFT GGA-PBE
data_SbTe2Rh
_chemical_formula_sum 'Sb1 Te2 Rh1'
_space_group_name_H-M_alt 'P 4/m m m'
_space_group_IT_number 123
_space_group_name_Hall '-P 4 2'
_cell_length_a 5.111
_cell_length_b 5.111
_cell_length_c 3.543
_cell_angle_alpha 90.00
_cell_angle_beta 90.00
_cell_angle_gamma 90.00
loop_
_atom_site_label
_atom_site_type_symbol
_atom_site_fract_x
_atom_site_fract_y
_atom_site_fract_z
_atom_site_occupancy
Sb1 Sb 0.000 0.000 0.000 1
Te1 Te 0.000 0.500 0.500 1
Rh1 Rh 0.500 0.500 0.000 1
# E_tot ... -4.15 eV/atom
# Calculated density ... 8.61 g cm⁻³
# Energy relative to the elements, uncorrected ... 1.18 eV per formula unit
# Magnetization ... 0.000 μB per formula unit
# DOS at the Fermi energy ... 0.63 states/eV per atom



[6]
# Nd2Zn4Pd5, relaxed, DFT GGA-PBE
data_Nd2Zn4Pd5
_chemical_formula_sum 'Nd8 Zn16 Pd20'
_space_group_name_H-M_alt 'F m m m'
_space_group_IT_number 69
_space_group_name_Hall '-F 2 2'
_cell_length_a 5.706
_cell_length_b 9.373
_cell_length_c 15.706
_cell_angle_alpha 90.00
_cell_angle_beta 90.00
_cell_angle_gamma 90.00
loop_
_atom_site_label
_atom_site_type_symbol
_atom_site_fract_x
_atom_site_fract_y
_atom_site_fract_z
_atom_site_occupancy
Nd1 Nd 0.000 0.000 0.129 1
Zn1 Zn 0.000 0.155 0.370 1
Pd1 Pd 0.000 0.000 0.500 1
Pd2 Pd 0.250 0.250 0.000 1
Pd3 Pd 0.250 0.250 0.250 1
# ΔE_f ... -0.6083 eV per atom
# E_tot ... -4.30 eV/atom
# Calculated density ... 8.56 g cm⁻³
# Magnetization ... 0.000 μB per formula unit
# DOS at the Fermi energy ... 0.35 states/eV per atom